Record 1
8
Lattice="6.119 0.000 0.000 0.000 6.119 0.000 0.000 0.000 10.860" Properties=species:S:1:pos:R:3 comment="K3Cd | Alexandria via LeMat-Bulk | PBE | relaxed" spacegroup="I4/mmm (139)" e_form_ev_per_fu=0.10 density_g_cm3=1.9 pbc="T T T"
K 0.000 0.000 0.000
K 0.000 3.060 2.715
K 0.000 3.060 8.145
K 3.060 0.000 2.715
K 3.060 0.000 8.145
K 3.060 3.060 5.430
Cd 0.000 0.000 5.430
Cd 3.060 3.060 0.000

=====

Record 2
8
Lattice="8.052 0.000 0.000 0.000 8.052 0.000 0.000 0.000 8.052" Properties=species:S:1:pos:R:3 comment="KCd | Alexandria via LeMat-Bulk | PBE | relaxed" spacegroup="F-43m (216)" e_form_ev_per_fu=0.65 density_g_cm3=1.9 pbc="T T T"
K 0.000 0.000 0.000
K 0.000 4.026 4.026
K 4.026 0.000 4.026
K 4.026 4.026 0.000
Cd 2.013 2.013 2.013
Cd 2.013 6.039 6.039
Cd 6.039 2.013 6.039
Cd 6.039 6.039 2.013

=====

Record 3
14
Lattice="9.775 -3.742 0.000 9.775 3.742 0.000 -1.394 0.000 10.008" Properties=species:S:1:pos:R:3 comment="K5Cd2 | Alexandria via LeMat-Bulk | PBE | relaxed" spacegroup="C2/c (15)" e_form_ev_per_fu=-0.11 density_g_cm3=1.9 pbc="T T T"
K 3.916 0.674 3.267
K 8.730 2.710 7.506
K 7.906 1.102 0.741
K 3.219 -0.674 8.271
K 10.947 1.102 4.263
K 7.209 -1.102 5.745
K 14.937 0.674 1.737
K 10.250 -1.102 9.267
K 9.427 -2.710 2.502
K 14.240 -0.674 6.741
Cd 7.161 2.399 4.193
Cd 11.692 2.399 0.811
Cd 6.464 -2.399 9.197
Cd 10.995 -2.399 5.815